No. 1
A crystal of KAl3W relaxed with PBEsol, computed with SCAN.

It has space group Pm-3m (No. 221), with a = 4.795 Å, b = 4.795 Å, c = 4.795 Å, α = 90.00°, β = 90.00° and γ = 90.00°. The asymmetric unit holds K at (0.000, 0.000, 0.000), Al at (0.000, 0.000, 0.500) and W at (0.500, 0.500, 0.500).

The calculation puts the total magnetization at 2.78 μB/f.u. As for the energy above the most stable polymorph in this dataset: 11.418 eV/f.u. As for the formation energy from the elements: 2690 meV/atom.


No. 2
A crystal of BWNO2 relaxed with PBEsol, computed with SCAN.

It has space group P4/mmm (No. 123), with a = 3.826 Å, b = 3.826 Å, c = 3.967 Å, α = 90.00°, β = 90.00° and γ = 90.00°. The asymmetric unit holds B at (0.000, 0.000, 0.000), W at (0.500, 0.500, 0.500), N at (0.500, 0.500, 0.000) and O at (0.000, 0.500, 0.500).

Its uncorrected formation energy is -0.08 eV/atom. The calculation puts the total magnetization at 0.00 μB/f.u.


Q: Which value of total magnetization does entry 2 give?
A: 0.00 μB/f.u.


Q: Which value of total magnetization does entry 2 give?
A: 0.00 μB/f.u.


Q: Which value of total magnetization does entry 2 give?
A: 0.00 μB/f.u.